# Ca2PmEr PBE relaxed
data_Ca2PmEr
_chemical_formula_sum 'Ca6 Pm3 Er3'
_cell_length_a 3.5802
_cell_length_b 3.5802
_cell_length_c 39.5640
_cell_angle_alpha 90.00
_cell_angle_beta 90.00
_cell_angle_gamma 120.00
_space_group_name_H-M_alt 'R -3 m'
_space_group_IT_number 166
_space_group_name_Hall '-R 3 2"'
loop_
_atom_site_label
_atom_site_type_symbol
_atom_site_fract_x
_atom_site_fract_y
_atom_site_fract_z
Ca1 Ca 0.0000 0.0000 0.0893
Pm1 Pm 0.0000 0.0000 0.0000
Er1 Er 0.0000 0.0000 0.5000
# E_form in eV per atom: 0.2330
# Energy in eV/cell: -37.15